(1)
First-principles (PBE) data for an optimized crystal structure of Ti7GeBi2H2, as listed in Alexandria.

abc: 4.0540 4.0540 11.9412
angles: 78.06 78.06 89.82
With the nearest neighbours (Å) after each atom.
Fractional coordinates of all 12 atoms:
Ti 0.5000 0.5000 0.0000  2 H 1.97
Ti 0.2497 0.2497 0.3976  1 H 2.57, 2 Bi 2.86
Ti 0.7503 0.7503 0.6024  1 H 2.57, 2 Bi 2.86
Ti 0.8974 0.3955 0.1706  2 H 2.03
Ti 0.3955 0.8974 0.1706  2 H 2.03
Ti 0.6045 0.1026 0.8294  2 H 2.03
Ti 0.1026 0.6045 0.8294  2 H 2.03
Ge 0.0000 0.0000 0.0000  12 Ti 2.81-2.87
Bi 0.7800 0.7800 0.3592  9 Ti 2.86-2.96
Bi 0.2200 0.2200 0.6408  9 Ti 2.86-2.96
H 0.6040 0.6040 0.8278  5 Ti 1.97-2.03
H 0.3960 0.3960 0.1722  5 Ti 1.97-2.03

As for the density: 7.32 g/cm³. The energy comes out at -78.60 eV per cell.

=====

(2)
First-principles (PBE) data for an optimized crystal structure of BaLaCl2, as listed in Alexandria.

abc: 6.5562 6.5562 8.9435
angles: 68.50 68.50 90.00
With the nearest neighbours (Å) after each atom.
Fractional coordinates of all 8 atoms:
Cl 0.6707 0.1250 0.2500  2 La 2.85, 2 Ba 3.18
Cl 0.0793 0.6250 0.2500  2 La 2.85, 2 Ba 3.18
Cl 0.3750 0.3293 0.7500  2 La 2.85, 2 Ba 3.18
Cl 0.8750 0.9207 0.7500  2 La 2.85, 2 Ba 3.18
Ba 0.5000 0.5000 0.0000  4 Cl 3.18
Ba 0.2500 0.7500 0.5000  4 Cl 3.18
La 0.0000 0.0000 0.0000  4 Cl 2.85
La 0.7500 0.2500 0.5000  4 Cl 2.85

As for the density: 3.51 g/cm³. For the formation energy from raw total energies, the calculation gives -5.49 eV/f.u. Its energy above the most stable polymorph in this dataset is 225 meV/atom. The energy comes out at -32.08 eV per cell.

=====

(3)
First-principles (PBE) data for an optimized crystal structure of Er5CdCo2, as listed in Alexandria.

abc: 7.5611 7.5611 8.4954
angles: 116.42 116.42 90.00
With the nearest neighbours (Å) after each atom.
Fractional coordinates of all 16 atoms:
Er 0.5275 0.7090 0.7365  3 Co 2.78-2.85
Er 0.7910 0.9725 0.2635  3 Co 2.78-2.85
Er 0.0000 0.0000 0.0000  4 Co 2.93
Er 0.5000 0.5000 0.0000  4 Co 2.93
Er 0.2090 0.0275 0.7365  3 Co 2.78-2.85
Er 0.7090 0.2090 0.7365  3 Co 2.78-2.85
Er 0.0275 0.5275 0.7365  3 Co 2.78-2.85
Er 0.2910 0.7910 0.2635  3 Co 2.78-2.85
Er 0.9725 0.4725 0.2635  3 Co 2.78-2.85
Er 0.4725 0.2910 0.2635  3 Co 2.78-2.85
Cd 0.7500 0.7500 0.5000  10 Er 3.24-3.30
Cd 0.2500 0.2500 0.5000  10 Er 3.24-3.30
Co 0.1378 0.3622 0.0000  8 Er 2.78-2.93, 1 Co 2.95
Co 0.6378 0.1378 0.0000  8 Er 2.78-2.93, 1 Co 2.95
Co 0.3622 0.8622 0.0000  8 Er 2.78-2.93, 1 Co 2.95
Co 0.8622 0.6378 0.0000  8 Er 2.78-2.93, 1 Co 2.95

As for the density: 9.38 g/cm³. The energy comes out at -79.72 eV per cell. As for the formation energy: -0.240 eV/atom.